Material: NbCr2BrN
Method: DFT, GGA-PBE
State: optimized geometry

Cell and atoms, written as CIF:
```
data_NbCr2BrN
_cell_length_a 5.2240
_cell_length_b 3.9360
_cell_length_c 5.2240
_cell_angle_alpha 90.00
_cell_angle_beta 90.00
_cell_angle_gamma 90.00
_symmetry_space_group_name_H-M 'P 1'
_symmetry_Int_Tables_number 1
loop_
_symmetry_equiv_pos_as_xyz
'x,y,z'
loop_
_atom_site_label
_atom_site_type_symbol
_atom_site_fract_x
_atom_site_fract_y
_atom_site_fract_z
_atom_site_occupancy
N1 N 0.0000 0.5000 0.0000 1
Cr1 Cr 0.0000 0.0000 0.5000 1
Cr2 Cr 0.5000 0.0000 0.0000 1
Br1 Br 0.5000 0.5000 0.5000 1
Nb1 Nb 0.0000 0.0000 0.0000 1
```

Summary:
Magnetic moment (μB/cell): 7.11
Formation energy from raw total energies (eV/atom): 0.985
Symmetry: P4/mmm, No. 123